{"formula": "Pr4Y5Al", "functional": "PBE-GGA", "state": "optimized geometry", "space_group": "P4/mmm (123)", "delta_e_f_ev_per_atom": -0.07, "lattice": [[3.620, 0.000, 0.000], [0.000, 3.620, 0.000], [0.000, 0.000, 24.509]], "species": ["Pr", "Pr", "Pr", "Pr", "Y", "Y", "Y", "Y", "Y", "Al"], "frac_coords": [[0.000, 0.000, 0.105], [0.000, 0.000, 0.317], [0.000, 0.000, 0.683], [0.000, 0.000, 0.895], [0.500, 0.500, 0.000], [0.500, 0.500, 0.211], [0.500, 0.500, 0.425], [0.500, 0.500, 0.575], [0.500, 0.500, 0.789], [0.000, 0.000, 0.500]]}

---

{"formula": "Y2PSe", "functional": "PBE-GGA", "state": "optimized geometry", "space_group": "C2/m (12)", "formation_energy_uncorrected_mev_per_atom": -1311, "e_above_lowest_polymorph_ev_per_fu": 1.94, "lattice": [[7.133, 0.000, 0.000], [0.000, 7.226, 0.000], [-0.651, 0.000, 3.462]], "species": ["Y", "Y", "Y", "Y", "P", "P", "Se", "Se"], "frac_coords": [[0.250, 0.250, 0.000], [0.250, 0.750, 0.000], [0.750, 0.250, 0.000], [0.750, 0.750, 0.000], [0.000, 0.000, 0.500], [0.500, 0.500, 0.500], [0.000, 0.500, 0.500], [0.500, 0.000, 0.500]]}

---

{"formula": "BeTlIn2", "functional": "PBE-GGA", "state": "optimized geometry", "space_group": "P4/mmm (123)", "delta_e_f_ev_per_atom": 0.53, "e_above_lowest_polymorph_ev_per_fu": 0.97, "lattice": [[5.248, 0.000, 0.000], [0.000, 5.248, 0.000], [0.000, 0.000, 3.518]], "species": ["Be", "Tl", "In", "In"], "frac_coords": [[0.000, 0.000, 0.000], [0.500, 0.500, 0.000], [0.000, 0.500, 0.500], [0.500, 0.000, 0.500]]}

---

{"formula": "LaPm2Au2", "functional": "PBE-GGA", "state": "optimized geometry", "space_group": "P4/mbm (127)", "delta_e_f_ev_per_atom": -0.64, "e_above_lowest_polymorph_ev_per_fu": 0.00, "lattice": [[8.440, 0.000, 0.000], [0.000, 8.440, 0.000], [0.000, 0.000, 3.920]], "species": ["La", "La", "Pm", "Pm", "Pm", "Pm", "Au", "Au", "Au", "Au"], "frac_coords": [[0.000, 0.000, 0.000], [0.500, 0.500, 0.000], [0.163, 0.337, 0.500], [0.337, 0.837, 0.500], [0.663, 0.163, 0.500], [0.837, 0.663, 0.500], [0.128, 0.628, 0.000], [0.372, 0.128, 0.000], [0.628, 0.872, 0.000], [0.872, 0.372, 0.000]]}

---

{"formula": "PuGa2I8", "functional": "PBE-GGA", "state": "optimized geometry", "space_group": "C2/m (12)", "formation_energy_uncorrected_mev_per_atom": -641, "e_above_lowest_polymorph_ev_per_fu": 0.05, "lattice": [[7.018, -5.623, 0.000], [7.018, 5.623, 0.000], [-1.204, 0.000, 7.162]], "species": ["Pu", "Ga", "Ga", "I", "I", "I", "I", "I", "I", "I", "I"], "frac_coords": [[0.000, 0.000, 0.000], [0.204, 0.204, 0.665], [0.796, 0.796, 0.335], [0.079, 0.710, 0.232], [0.196, 0.196, 0.295], [0.290, 0.921, 0.768], [0.381, 0.381, 0.821], [0.619, 0.619, 0.179], [0.710, 0.079, 0.232], [0.804, 0.804, 0.705], [0.921, 0.290, 0.768]]}

---

{"formula": "PmRe2O8", "functional": "PBE-GGA", "state": "optimized geometry", "space_group": "Fm-3m (225)", "formation_energy_uncorrected_mev_per_atom": -2046, "e_above_lowest_polymorph_ev_per_fu": 0.00, "lattice": [[0.000, 4.862, 4.862], [4.862, 0.000, 4.862], [4.862, 4.862, 0.000]], "species": ["Pm", "Re", "Re", "O", "O", "O", "O", "O", "O", "O", "O"], "frac_coords": [[0.000, 0.000, 0.000], [0.250, 0.250, 0.250], [0.750, 0.750, 0.750], [0.145, 0.145, 0.145], [0.145, 0.145, 0.565], [0.145, 0.565, 0.145], [0.435, 0.855, 0.855], [0.565, 0.145, 0.145], [0.855, 0.435, 0.855], [0.855, 0.855, 0.435], [0.855, 0.855, 0.855]]}

---

{"formula": "FeBi4", "functional": "PBE-GGA", "state": "optimized geometry", "space_group": "Pm-3m (221)", "delta_e_f_ev_per_atom": 0.38, "lattice": [[5.217, 0.000, 0.000], [0.000, 5.217, 0.000], [0.000, 0.000, 5.217]], "species": ["Fe", "Bi", "Bi", "Bi", "Bi"], "frac_coords": [[0.000, 0.000, 0.000], [0.000, 0.000, 0.500], [0.000, 0.500, 0.000], [0.500, 0.000, 0.000], [0.500, 0.500, 0.500]]}

---

{"formula": "Cu2SiTe", "functional": "PBE-GGA", "state": "optimized geometry", "space_group": "P2/m (10)", "formation_energy_uncorrected_mev_per_atom": 220, "e_above_lowest_polymorph_ev_per_fu": 0.62, "lattice": [[4.189, 0.000, 0.000], [0.000, 4.049, 0.000], [-0.246, 0.000, 4.389]], "species": ["Cu", "Cu", "Si", "Te"], "frac_coords": [[0.225, 0.000, 0.324], [0.775, 0.000, 0.676], [0.000, 0.500, 0.500], [0.500, 0.500, 0.000]]}